Computed, not measured: an optimized crystal structure of RbAlMo2O8 at the GGA+U level of DFT.

Unit cell a=5.641 b=5.641 c=7.758 alpha=90.00 beta=90.00 gamma=120.00
Sites, in units of the cell vectors:
Rb 0.000 0.000 0.000
Al 0.000 0.000 0.500
Mo 0.333 0.667 0.716
Mo 0.667 0.333 0.284
O 0.157 0.314 0.645
O 0.157 0.843 0.645
O 0.314 0.157 0.355
O 0.333 0.667 0.942
O 0.667 0.333 0.058
O 0.686 0.843 0.645
O 0.843 0.157 0.355
O 0.843 0.686 0.355

Output
DOS(E_F) (states/eV per cell): 0.000
Final energy (eV/atom): -6.884
Crystal system: trigonal
V (Å³/f.u.): 214
Magnetic moment (μB per atom): 0.0000